Entry 1:
FeOsRh2: PBEsol geometry, SCAN.

The structure in POSCAR format:
```
FeOsRh2
1.0
-0.393 -1.405 -2.220
-0.109 -2.234 1.433
-7.262 0.839 0.756
Fe Rh Os
1 2 1
Direct
0.000 0.000 0.501 Fe
0.000 0.000 0.997 Rh
0.500 0.500 0.263 Rh
0.500 0.500 0.739 Os
```

Calculated values
For the energy relative to the elements, the calculation gives 0.033 eV per atom. The total moment comes out at 2.78 μB per cell. The calculation puts the total energy at -39.3555 eV per atom.

Entry 2:
CuAg2Ru2: PBEsol geometry, SCAN.

The structure in POSCAR format:
```
CuAg2Ru2
1.0
3.583 0.000 0.000
0.000 3.583 0.000
-1.791 -1.791 6.323
Ru Cu Ag
2 1 2
Direct
0.412 0.412 0.824 Ru
0.588 0.588 0.176 Ru
0.000 0.000 0.000 Cu
0.250 0.750 0.500 Ag
0.750 0.250 0.500 Ag
```

Calculated values
For the energy relative to the elements, the calculation gives 1.051 eV per atom. The total moment comes out at 0.00 μB per cell. The calculation puts the total energy at -28.4659 eV per atom.

Entry 3:
KRbGa2Bi: PBEsol geometry, SCAN.

The structure in POSCAR format:
```
KRbGa2Bi
1.0
5.828 0.000 0.000
0.000 5.828 0.000
0.000 0.000 6.117
Ga K Bi Rb
2 1 1 1
Direct
0.500 0.000 0.000 Ga
0.000 0.500 0.000 Ga
0.000 0.000 0.000 K
0.000 0.000 0.500 Bi
0.500 0.500 0.500 Rb
```

Calculated values
For the energy relative to the elements, the calculation gives 0.592 eV per atom. The total moment comes out at 0.00 μB per cell. The calculation puts the total energy at -27.4756 eV per atom.

Entry 4:
Be3SbP: PBEsol geometry, SCAN.

The structure in POSCAR format:
```
Be3SbP
1.0
-2.743 -0.286 -3.183
3.173 -0.741 -2.668
-0.379 -4.136 0.698
P Sb Be
1 1 3
Direct
0.000 0.000 0.000 P
0.500 0.500 0.500 Sb
0.000 0.000 0.500 Be
0.500 0.000 0.000 Be
0.000 0.500 0.000 Be
```

Calculated values
The total moment comes out at 0.00 μB per cell. The calculation puts the total energy at -11.6670 eV per atom.

Entry 5:
Al3PdF: PBEsol geometry, SCAN.

The structure in POSCAR format:
```
Al3PdF
1.0
4.221 0.000 0.000
0.000 4.221 0.000
0.000 0.000 4.221
F Al Pd
1 3 1
Direct
0.000 0.000 0.000 F
0.000 0.000 0.500 Al
0.500 0.000 0.000 Al
0.000 0.500 0.000 Al
0.500 0.500 0.500 Pd
```

Calculated values
The total moment comes out at 0.00 μB per cell. The calculation puts the total energy at -12.1949 eV per atom.

Entry 6:
ZnPPtO2: PBEsol geometry, SCAN.

The structure in POSCAR format:
```
ZnPPtO2
1.0
3.524 0.000 0.000
0.000 3.524 0.000
0.000 0.000 6.354
Pt O Zn P
1 2 1 1
Direct
0.500 0.500 0.500 Pt
0.500 0.000 0.000 O
0.000 0.500 0.000 O
0.000 0.000 0.000 Zn
0.000 0.000 0.500 P
```

Calculated values
The total moment comes out at 1.47 μB per cell. The calculation puts the total energy at -21.0998 eV per atom.

Entry 7:
SrMg2SbRu: PBEsol geometry, SCAN.

The structure in POSCAR format:
```
SrMg2SbRu
1.0
5.185 0.000 0.000
0.000 5.185 0.000
0.000 0.000 6.075
Ru Sr Mg Sb
1 1 2 1
Direct
0.500 0.500 0.500 Ru
0.000 0.000 0.500 Sr
0.000 0.500 0.000 Mg
0.500 0.000 0.000 Mg
0.000 0.000 0.000 Sb
```

Calculated values
The total moment comes out at 1.55 μB per cell. The calculation puts the total energy at -20.0614 eV per atom.

Entry 8:
CaMg2Hg: PBEsol geometry, SCAN.

The structure in POSCAR format:
```
CaMg2Hg
1.0
-0.938 4.917 0.890
-1.749 -2.190 -4.263
-4.983 -0.850 -0.552
Mg Ca Hg
2 1 1
Direct
0.000 0.000 0.000 Mg
0.750 0.500 0.750 Mg
0.500 0.000 0.500 Ca
0.250 0.500 0.250 Hg
```

Calculated values
For the energy relative to the elements, the calculation gives -0.343 eV per atom. The total moment comes out at 0.00 μB per cell. The calculation puts the total energy at -22.2871 eV per atom.

Entry 9:
PdSe8Cl2: PBEsol geometry, SCAN.

The structure in POSCAR format:
```
PdSe8Cl2
1.0
8.986 0.000 0.000
0.000 9.482 0.000
0.000 0.000 13.527
Se Cl Pd
32 8 4
Direct
0.124 0.157 0.024 Se
0.412 0.888 0.377 Se
0.297 0.021 0.116 Se
0.876 0.343 0.524 Se
0.703 0.479 0.616 Se
0.124 0.657 0.476 Se
0.203 0.521 0.884 Se
0.624 0.343 0.024 Se
0.376 0.657 0.976 Se
0.588 0.112 0.623 Se
0.091 0.693 0.772 Se
0.088 0.888 0.877 Se
0.088 0.388 0.623 Se
0.797 0.479 0.116 Se
0.909 0.307 0.228 Se
0.409 0.193 0.228 Se
0.409 0.693 0.272 Se
0.588 0.612 0.877 Se
0.376 0.157 0.524 Se
0.797 0.979 0.384 Se
0.876 0.843 0.976 Se
0.703 0.979 0.884 Se
0.909 0.807 0.272 Se
0.912 0.612 0.377 Se
0.591 0.307 0.728 Se
0.091 0.193 0.728 Se
0.912 0.112 0.123 Se
0.412 0.388 0.123 Se
0.624 0.843 0.476 Se
0.297 0.521 0.384 Se
0.591 0.807 0.772 Se
0.203 0.021 0.616 Se
0.099 0.162 0.392 Cl
0.099 0.662 0.108 Cl
0.401 0.662 0.608 Cl
0.401 0.162 0.892 Cl
0.599 0.338 0.392 Cl
0.599 0.838 0.108 Cl
0.901 0.838 0.608 Cl
0.901 0.338 0.892 Cl
0.500 0.000 0.000 Pd
0.000 0.500 0.000 Pd
0.500 0.500 0.500 Pd
0.000 0.000 0.500 Pd
```

Calculated values
The total moment comes out at 0.00 μB per cell. The calculation puts the total energy at -19.2478 eV per atom.

Entry 10:
PrB12: PBEsol geometry, SCAN.

The structure in POSCAR format:
```
PrB12
1.0
5.344 0.000 0.000
2.672 4.628 0.000
2.672 1.543 4.363
B Pr
12 1
Direct
0.500 0.164 0.500 B
0.500 0.500 0.164 B
0.500 0.836 0.500 B
0.836 0.500 0.500 B
0.164 0.500 0.500 B
0.500 0.164 0.836 B
0.500 0.836 0.164 B
0.164 0.836 0.500 B
0.500 0.500 0.836 B
0.164 0.500 0.836 B
0.836 0.500 0.164 B
0.836 0.164 0.500 B
0.000 0.000 0.000 Pr
```

Calculated values
For the energy relative to the elements, the calculation gives -0.236 eV per atom. The total moment comes out at 0.00 μB per cell. The calculation puts the total energy at -10.4272 eV per atom.

Entry 11:
CdAsOF2: PBEsol geometry, SCAN.

The structure in POSCAR format:
```
CdAsOF2
1.0
-1.647 1.288 3.639
1.493 -3.436 1.892
3.715 2.126 0.929
F As O Cd
2 1 1 1
Direct
0.500 0.000 0.000 F
0.000 0.500 0.000 F
0.500 0.500 0.500 As
0.000 0.000 0.500 O
0.000 0.000 0.000 Cd
```

Calculated values
The total moment comes out at 1.06 μB per cell. The calculation puts the total energy at -13.4577 eV per atom.

Entry 12:
Tl2ZnCrRu: PBEsol geometry, SCAN.

The structure in POSCAR format:
```
Tl2ZnCrRu
1.0
4.503 0.000 0.000
0.000 5.225 0.000
0.000 0.000 5.225
Tl Ru Zn Cr
2 1 1 1
Direct
0.000 0.500 0.000 Tl
0.000 0.000 0.500 Tl
0.000 0.000 0.000 Ru
0.500 0.500 0.500 Zn
0.500 0.000 0.000 Cr
```

Calculated values
For the energy relative to the elements, the calculation gives 0.620 eV per atom. The total moment comes out at 3.37 μB per cell. The calculation puts the total energy at -41.6687 eV per atom.